1.
SmNp2Se4: relaxed, PBE.

Cell lengths 4.026, 13.552, 13.889 Å; angles 90.00, 90.00, 90.00 degrees
Space group Cmcm (No. 63)
Symmetry-distinct sites (fractional):
Sm  0.000  0.119  0.250
Np  0.000  0.366  0.066
Se  0.000  0.000  0.000
Se  0.000  0.276  0.625
Se  0.000  0.462  0.250

The calculation puts the uncorrected formation energy at -1.3450 eV per atom. As for the density of states at the Fermi level: 20.35 states/eV/f.u. The calculation puts the distance to the lowest polymorph of the same formula at 0.000 eV/atom. The size of the total moment is 35.1 μB/cell.

***

2.
Sm2Np2Se7: relaxed, PBE.

Cell lengths 9.240, 10.233, 6.956 Å; angles 90.00, 90.00, 90.00 degrees
Space group Cmmm (No. 65)
Symmetry-distinct sites (fractional):
Sm  0.228  0.000  0.000
Np  0.000  0.233  0.500
Se  0.000  0.000  0.264
Se  0.000  0.500  0.500
Se  0.250  0.250  0.242

The calculation puts the uncorrected formation energy at -1.2404 eV per atom. As for the density of states at the Fermi level: 22.17 states/eV/f.u. The size of the total moment is 12.0 μB/cell.

***

3.
Sm3NpSe4: relaxed, PBE.

Cell lengths 5.869, 5.869, 11.785 Å; angles 90.00, 90.00, 90.00 degrees
Space group I4/mmm (No. 139)
Symmetry-distinct sites (fractional):
Sm  0.000  0.000  0.000
Sm  0.000  0.500  0.250
Np  0.000  0.000  0.500
Se  0.000  0.000  0.252
Se  0.000  0.500  0.000

The calculation puts the uncorrected formation energy at -1.6386 eV per atom. As for the density of states at the Fermi level: 11.19 states/eV/f.u. The size of the total moment is 9.7 μB/cell.

***

4.
Sm6NpSe8: relaxed, PBE.

Cell lengths 11.764, 11.764, 11.764 Å; angles 90.00, 90.00, 90.00 degrees
Space group Fm-3m (No. 225)
Symmetry-distinct sites (fractional):
Sm  0.000  0.250  0.250
Np  0.000  0.000  0.000
Se  0.000  0.000  0.251
Se  0.250  0.250  0.250

The calculation puts the uncorrected formation energy at -1.7449 eV per atom. As for the density of states at the Fermi level: 17.18 states/eV/f.u. The size of the total moment is 20.4 μB/cell.